Record 1
VASP calculation (GGA-PBE) on a geometry-optimized Rb2H2S structure.

a = 3.726 Å, b = 3.726 Å, c = 17.387 Å
α = 90.00°, β = 90.00°, γ = 90.00°
Space group I4/mmm (No. 139)
Inequivalent atoms, fractional coordinates:
1 Rb 0.000 0.000 0.122 x4
2 H 0.000 0.500 0.250 x4
3 S 0.000 0.000 0.500 x2

Calculated values
M_tot: 0.47 μB per formula unit
Energy: -2.352 eV per atom
Volume: 24.137 Å³ per atom

---

Record 2
VASP calculation (GGA-PBE) on a geometry-optimized Ba4Cu3ReO12 structure.

a = 8.139 Å, b = 8.139 Å, c = 8.139 Å
α = 90.00°, β = 90.00°, γ = 90.00°
Space group Im-3m (No. 229)
Inequivalent atoms, fractional coordinates:
1 Ba 0.250 0.250 0.250 x8
2 Cu 0.000 0.000 0.500 x6
3 Re 0.000 0.000 0.000 x2
4 O 0.000 0.000 0.233 x12
5 O 0.000 0.250 0.500 x12

Calculated values
M_tot: 2.05 μB per formula unit
Energy: -6.235 eV per atom
Energy relative to the elements, uncorrected: -1639.1 meV/atom
Volume: 13.477 Å³ per atom